Record 1
The following is a PBE calculation of Nb2CoP after structural relaxation, from Alexandria via LeMat-Bulk.

Results
- energy of formation from the pure elements (kcal/mol of atoms) = -6.5
- M_tot (μB per formula unit) = 0.00
- electronic total energy (eV/cell) = -101.330
- Fermi-level density of states (states/eV per atom) = 0.701

Cell and atoms, written as CIF:
```
data_Nb2CoP
_chemical_formula_sum 'Nb6 Co3 P3'
_cell_length_a 3.5642
_cell_length_b 3.5642
_cell_length_c 17.2249
_cell_angle_alpha 90.00
_cell_angle_beta 90.00
_cell_angle_gamma 120.00
_space_group_name_H-M_alt 'R 3 m'
_space_group_IT_number 160
_space_group_name_Hall 'R 3 -2"'
loop_
_atom_site_label
_atom_site_type_symbol
_atom_site_fract_x
_atom_site_fract_y
_atom_site_fract_z
_atom_site_occupancy
Nb1 Nb 0.0000 0.0000 0.0000 1
Nb2 Nb 0.0000 0.0000 0.2094 1
Co1 Co 0.0000 0.0000 0.7697 1
P1 P 0.0000 0.0000 0.4400 1
```

Record 2
The following is a PBE calculation of NbCo2P2 after structural relaxation, from Alexandria via LeMat-Bulk.

Results
- energy of formation from the pure elements (kcal/mol of atoms) = -9.7
- M_tot (μB per formula unit) = 0.85
- electronic total energy (eV/cell) = -74.411
- Fermi-level density of states (states/eV per atom) = 0.883

Cell and atoms, written as CIF:
```
data_NbCo2P2
_chemical_formula_sum 'Nb2 Co4 P4'
_cell_length_a 6.722
_cell_length_b 6.722
_cell_length_c 2.707
_cell_angle_alpha 90.00
_cell_angle_beta 90.00
_cell_angle_gamma 90.00
_space_group_name_H-M_alt 'P 4/m b m'
_space_group_IT_number 127
_space_group_name_Hall '-P 4 2ab'
loop_
_atom_site_label
_atom_site_type_symbol
_atom_site_fract_x
_atom_site_fract_y
_atom_site_fract_z
_atom_site_occupancy
Nb1 Nb 0.000 0.000 0.000 1
Co1 Co 0.138 0.362 0.500 1
P1 P 0.151 0.651 0.000 1
```

Question: Number 2 is which compound?
Answer: NbCo2P2

Question: Number 1 is which compound?
Answer: Nb2CoP

Question: What is the formula in the second record?
Answer: NbCo2P2